Record 1
DFT (PBE) results for a relaxed Ho3Hg2C crystal.

Results
energy of formation from the pure elements = -0.4189 eV per atom
energy = -4.346 eV/atom

a b c (Å): 4.999 6.985 8.115
angles (deg): 90.05 107.94 90.00
Atoms (fractional coordinates):
Ho 0.113 0.000 0.226
Ho 0.500 0.750 0.000
Hg 0.698 0.249 0.396
Ho 0.500 0.250 0.000
Ho 0.887 0.500 0.774
Hg 0.302 0.251 0.604
C 0.000 0.250 0.000
Hg 0.698 0.749 0.396
C 0.000 0.750 0.000
Hg 0.302 0.751 0.604
Ho 0.113 0.500 0.226
Ho 0.887 0.000 0.774

---

Record 2
DFT (PBE) results for a relaxed PmAgAsO4 crystal.

Results
raw formation energy = -1.61 eV per atom
energy = -6.191 eV/atom

a b c (Å): 5.983 6.657 6.657
angles (deg): 68.79 63.30 63.30
Atoms (fractional coordinates):
Pm 0.000 0.000 0.000
As 0.644 0.606 0.106
Ag 0.000 0.000 0.500
O 0.259 0.291 0.191
O 0.741 0.709 0.809
O 0.237 0.276 0.776
O 0.289 0.724 0.224
O 0.741 0.309 0.209
As 0.356 0.394 0.894
O 0.763 0.724 0.224
Ag 0.500 0.000 0.500
O 0.259 0.691 0.791
Pm 0.000 0.500 0.500
O 0.711 0.276 0.776

---

Record 3
DFT (PBE) results for a relaxed MnZn2Br crystal.

Results
raw formation energy = 0.29 eV per atom
energy = -3.060 eV/atom

a b c (Å): 5.866 3.211 4.229
angles (deg): 89.75 90.00 90.00
Last column: magnetic moment on the atom in μB.
Atoms (fractional coordinates):
Zn 0.000 0.508 0.506  -0.02
Mn 0.500 0.750 0.750  3.87
Zn 0.000 0.992 0.994  -0.02
Br 0.500 0.250 0.250  0.04

---

Record 4
DFT (PBE) results for a relaxed Pm5HoTh2 crystal.

Results
energy of formation from the pure elements = 0.1048 eV per atom
energy = -5.292 eV/atom

a b c (Å): 3.546 11.372 8.957
angles (deg): 129.41 101.46 90.00
Atoms (fractional coordinates):
Pm 0.629 0.868 0.260
Th 0.258 0.758 0.517
Pm 0.000 0.500 0.000
Pm 0.371 0.609 0.740
Pm 0.629 0.391 0.260
Pm 0.371 0.132 0.740
Ho 0.000 0.000 0.000
Th 0.742 0.242 0.483